[1]
CdN: relaxed, GGA-PBE.

Output
**Crystal system**: monoclinic
**Uncorrected formation energy**: 0.161 eV per atom
**Total magnetization**: 0.00 μB/cell

CIF file:
```
data_CdN
_chemical_formula_sum 'Cd4 N4'
_symmetry_space_group_name_H-M 'C 1 m 1'
_symmetry_Int_Tables_number 8
_symmetry_space_group_name_Hall 'C -2y'
_cell_length_a 21.4094
_cell_length_b 3.1803
_cell_length_c 3.1569
_cell_angle_alpha 90.00
_cell_angle_beta 96.40
_cell_angle_gamma 90.00
loop_
_atom_site_label
_atom_site_type_symbol
_atom_site_fract_x
_atom_site_fract_y
_atom_site_fract_z
_atom_site_occupancy
Cd1 Cd 0.0000 0.0000 0.0000 1
Cd2 Cd 0.1100 0.5000 0.5814 1
N1 N 0.2789 0.0000 0.3016 1
N2 N 0.3313 0.0000 0.3499 1
```

***

[2]
CdN: relaxed, GGA-PBE.

Output
**Crystal system**: tetragonal
**Uncorrected formation energy**: 1.128 eV per atom
**Total magnetization**: 3.00 μB/cell

CIF file:
```
data_CdN
_chemical_formula_sum 'Cd4 N4'
_symmetry_space_group_name_H-M 'P 42/m n m'
_symmetry_Int_Tables_number 136
_symmetry_space_group_name_Hall '-P 4n 2n'
_cell_length_a 6.2283
_cell_length_b 6.2283
_cell_length_c 3.6837
_cell_angle_alpha 90.00
_cell_angle_beta 90.00
_cell_angle_gamma 90.00
loop_
_atom_site_label
_atom_site_type_symbol
_atom_site_fract_x
_atom_site_fract_y
_atom_site_fract_z
_atom_site_occupancy
Cd1 Cd 0.1930 0.1930 0.0000 1
N1 N 0.1686 0.8314 0.0000 1
```

***

[3]
CdN: relaxed, GGA-PBE.

Output
**Crystal system**: orthorhombic
**Uncorrected formation energy**: 0.160 eV per atom
**Total magnetization**: 0.00 μB/cell

CIF file:
```
data_CdN
_chemical_formula_sum 'Cd4 N4'
_symmetry_space_group_name_H-M 'I m m m'
_symmetry_Int_Tables_number 71
_symmetry_space_group_name_Hall '-I 2 2'
_cell_length_a 3.0426
_cell_length_b 5.0157
_cell_length_c 18.3627
_cell_angle_alpha 90.00
_cell_angle_beta 90.00
_cell_angle_gamma 90.00
loop_
_atom_site_label
_atom_site_type_symbol
_atom_site_fract_x
_atom_site_fract_y
_atom_site_fract_z
_atom_site_occupancy
Cd1 Cd 0.0000 0.0000 0.2485 1
N1 N 0.0000 0.0000 0.4697 1
```

***

[4]
CdN: relaxed, GGA-PBE.

Output
**Crystal system**: cubic
**Uncorrected formation energy**: 1.348 eV per atom
**Total magnetization**: 1.01 μB/cell

CIF file:
```
data_CdN
_chemical_formula_sum 'Cd1 N1'
_symmetry_space_group_name_H-M 'P m -3 m'
_symmetry_Int_Tables_number 221
_symmetry_space_group_name_Hall '-P 4 2 3'
_cell_length_a 2.9886
_cell_length_b 2.9886
_cell_length_c 2.9886
_cell_angle_alpha 90.00
_cell_angle_beta 90.00
_cell_angle_gamma 90.00
loop_
_atom_site_label
_atom_site_type_symbol
_atom_site_fract_x
_atom_site_fract_y
_atom_site_fract_z
_atom_site_occupancy
Cd1 Cd 0.0000 0.0000 0.0000 1
N1 N 0.5000 0.5000 0.5000 1
```